(1)
Density functional theory data (PBE-GGA) for a relaxed structure of AlPCl2.

The structure in CIF format:
```
data_AlPCl2
_cell_length_a 3.3062
_cell_length_b 3.3062
_cell_length_c 26.4817
_cell_angle_alpha 90.00
_cell_angle_beta 90.00
_cell_angle_gamma 120.00
_space_group_name_H-M_alt 'R -3 m'
_space_group_IT_number 166
_space_group_name_Hall '-R 3 2"'
loop_
_atom_site_label
_atom_site_fract_x
_atom_site_fract_y
_atom_site_fract_z
Al1 0.0000 0.0000 0.0000
P1 0.0000 0.0000 0.5000
Cl1 0.0000 0.0000 0.2759
```

## Properties
Formation energy from raw total energies   0.10 eV/atom

(2)
Density functional theory data (PBE-GGA) for a relaxed structure of Pr5NdPb4.

The structure in CIF format:
```
data_Pr5NdPb4
_cell_length_a 16.940
_cell_length_b 5.602
_cell_length_c 7.413
_cell_angle_alpha 90.00
_cell_angle_beta 90.13
_cell_angle_gamma 90.00
_space_group_name_H-M_alt 'C 1 2/m 1'
_space_group_IT_number 12
loop_
_space_group_symop_operation_xyz
'x,y,z'
'-x,-y,-z'
'-x,y,-z'
'x,-y,z'
'x+1/2,y+1/2,z'
'-x+1/2,-y+1/2,-z'
'-x+1/2,y+1/2,-z'
'x+1/2,-y+1/2,z'
loop_
_atom_site_label
_atom_site_fract_x
_atom_site_fract_y
_atom_site_fract_z
Pr1 0.000 0.000 0.000
Pr2 0.166 0.500 0.993
Pr3 0.167 0.500 0.508
Nd1 0.000 0.000 0.500
Pb1 0.009 0.500 0.251
Pb2 0.175 0.000 0.750
```

## Properties
ΔH_f (0 K)   -399 meV/atom

(3)
Density functional theory data (PBE-GGA) for a relaxed structure of YHo2Rh2.

The structure in CIF format:
```
data_YHo2Rh2
_cell_length_a 5.522
_cell_length_b 4.347
_cell_length_c 10.378
_cell_angle_alpha 90.00
_cell_angle_beta 98.73
_cell_angle_gamma 90.00
_space_group_name_H-M_alt 'P 1 21/m 1'
_space_group_IT_number 11
loop_
_space_group_symop_operation_xyz
'x,y,z'
'-x,-y,-z'
'-x,y+1/2,-z'
'x,-y+1/2,z'
loop_
_atom_site_label
_atom_site_fract_x
_atom_site_fract_y
_atom_site_fract_z
Y1 0.056 0.250 0.287
Ho1 0.268 0.750 0.035
Ho2 0.385 0.250 0.614
Rh1 0.157 0.750 0.464
Rh2 0.193 0.250 0.862
```

## Properties
ΔH_f (0 K)   -725 meV/atom

(4)
Density functional theory data (PBE-GGA) for a relaxed structure of Cr3GaP4.

The structure in CIF format:
```
data_Cr3GaP4
_cell_length_a 5.430
_cell_length_b 5.430
_cell_length_c 5.430
_cell_angle_alpha 90.00
_cell_angle_beta 90.00
_cell_angle_gamma 90.00
_space_group_name_H-M_alt 'P -4 3 m'
_space_group_IT_number 215
_space_group_name_Hall 'P -4 2 3'
loop_
_atom_site_label
_atom_site_fract_x
_atom_site_fract_y
_atom_site_fract_z
Cr1 0.000 0.000 0.500
Ga1 0.500 0.500 0.500
P1 0.246 0.246 0.754
```

## Properties
ΔH_f (0 K)   9 meV/atom

(5)
Density functional theory data (PBE-GGA) for a relaxed structure of YSc7Cd4.

The structure in CIF format:
```
data_YSc7Cd4
_cell_length_a 13.994
_cell_length_b 5.325
_cell_length_c 9.207
_cell_angle_alpha 90.00
_cell_angle_beta 121.88
_cell_angle_gamma 90.00
_space_group_name_H-M_alt 'C 1 2/m 1'
_space_group_IT_number 12
loop_
_space_group_symop_operation_xyz
'x,y,z'
'-x,-y,-z'
'-x,y,-z'
'x,-y,z'
'x+1/2,y+1/2,z'
'-x+1/2,-y+1/2,-z'
'-x+1/2,y+1/2,-z'
'x+1/2,-y+1/2,z'
loop_
_atom_site_label
_atom_site_fract_x
_atom_site_fract_y
_atom_site_fract_z
Y1 0.000 0.000 0.000
Sc1 0.000 0.500 0.000
Sc2 0.073 0.000 0.423
Sc3 0.212 0.000 0.883
Sc4 0.241 0.500 0.696
Cd1 0.047 0.500 0.715
Cd2 0.180 0.500 0.340
```

## Properties
ΔH_f (0 K)   42 meV/atom

(6)
Density functional theory data (PBE-GGA) for a relaxed structure of SbTe2OsPt.

The structure in CIF format:
```
data_SbTe2OsPt
_cell_length_a 5.186
_cell_length_b 5.186
_cell_length_c 5.022
_cell_angle_alpha 90.00
_cell_angle_beta 90.00
_cell_angle_gamma 90.00
_space_group_name_H-M_alt 'P 4/m m m'
_space_group_IT_number 123
_space_group_name_Hall '-P 4 2'
loop_
_atom_site_label
_atom_site_fract_x
_atom_site_fract_y
_atom_site_fract_z
Sb1 0.000 0.000 0.000
Te1 0.000 0.500 0.500
Os1 0.000 0.000 0.500
Pt1 0.500 0.500 0.000
```

## Properties
Formation energy from raw total energies   1.02 eV/atom

(7)
Density functional theory data (PBE-GGA) for a relaxed structure of ThInTcPd.

The structure in CIF format:
```
data_ThInTcPd
_cell_length_a 6.890
_cell_length_b 6.890
_cell_length_c 6.890
_cell_angle_alpha 90.00
_cell_angle_beta 90.00
_cell_angle_gamma 90.00
_space_group_name_H-M_alt 'F -4 3 m'
_space_group_IT_number 216
_space_group_name_Hall 'F -4 2 3'
loop_
_atom_site_label
_atom_site_fract_x
_atom_site_fract_y
_atom_site_fract_z
Th1 0.000 0.000 0.000
In1 0.000 0.000 0.500
Tc1 0.250 0.250 0.250
Pd1 0.250 0.250 0.750
```

## Properties
ΔH_f (0 K)   -275 meV/atom

(8)
Density functional theory data (PBE-GGA) for a relaxed structure of MgTlSn.

The structure in CIF format:
```
data_MgTlSn
_cell_length_a 7.011
_cell_length_b 7.011
_cell_length_c 7.011
_cell_angle_alpha 90.00
_cell_angle_beta 90.00
_cell_angle_gamma 90.00
_space_group_name_H-M_alt 'F -4 3 m'
_space_group_IT_number 216
_space_group_name_Hall 'F -4 2 3'
loop_
_atom_site_label
_atom_site_fract_x
_atom_site_fract_y
_atom_site_fract_z
Mg1 0.000 0.000 0.000
Tl1 0.250 0.250 0.250
Sn1 0.250 0.250 0.750
```

## Properties
ΔH_f (0 K)   47 meV/atom

(9)
Density functional theory data (PBE-GGA) for a relaxed structure of NbSn3Rh.

The structure in CIF format:
```
data_NbSn3Rh
_cell_length_a 5.298
_cell_length_b 5.298
_cell_length_c 5.298
_cell_angle_alpha 90.00
_cell_angle_beta 90.00
_cell_angle_gamma 90.00
_space_group_name_H-M_alt 'P m -3 m'
_space_group_IT_number 221
_space_group_name_Hall '-P 4 2 3'
loop_
_atom_site_label
_atom_site_fract_x
_atom_site_fract_y
_atom_site_fract_z
Nb1 0.000 0.000 0.000
Sn1 0.000 0.000 0.500
Rh1 0.500 0.500 0.500
```

## Properties
ΔH_f (0 K)   921 meV/atom

(10)
Density functional theory data (PBE-GGA) for a relaxed structure of Y2TcBr.

The structure in CIF format:
```
data_Y2TcBr
_cell_length_a 3.5032
_cell_length_b 3.5032
_cell_length_c 30.1150
_cell_angle_alpha 90.00
_cell_angle_beta 90.00
_cell_angle_gamma 120.00
_space_group_name_H-M_alt 'R 3 m'
_space_group_IT_number 160
_space_group_name_Hall 'R 3 -2"'
loop_
_atom_site_label
_atom_site_fract_x
_atom_site_fract_y
_atom_site_fract_z
Y1 0.0000 0.0000 0.0000
Y2 0.0000 0.0000 0.2304
Tc1 0.0000 0.0000 0.7360
Br1 0.0000 0.0000 0.4945
```

## Properties
Formation energy from raw total energies   0.17 eV/atom

(11)
Density functional theory data (PBE-GGA) for a relaxed structure of FeTc2Os.

The structure in CIF format:
```
data_FeTc2Os
_cell_length_a 2.909
_cell_length_b 4.348
_cell_length_c 8.840
_cell_angle_alpha 90.00
_cell_angle_beta 90.00
_cell_angle_gamma 90.00
_space_group_name_H-M_alt 'I m m 2'
_space_group_IT_number 44
loop_
_space_group_symop_operation_xyz
'x,y,z'
'-x,-y,z'
'-x,y,z'
'x,-y,z'
'x+1/2,y+1/2,z+1/2'
'-x+1/2,-y+1/2,z+1/2'
'-x+1/2,y+1/2,z+1/2'
'x+1/2,-y+1/2,z+1/2'
loop_
_atom_site_label
_atom_site_fract_x
_atom_site_fract_y
_atom_site_fract_z
Fe1 0.000 0.000 0.000
Tc1 0.000 0.000 0.500
Tc2 0.000 0.500 0.271
Os1 0.000 0.500 0.730
```

## Properties
ΔH_f (0 K)   213 meV/atom

(12)
Density functional theory data (PBE-GGA) for a relaxed structure of Sm2InGa3Pd4.

The structure in CIF format:
```
data_Sm2InGa3Pd4
_cell_length_a 4.130
_cell_length_b 4.130
_cell_length_c 11.591
_cell_angle_alpha 90.00
_cell_angle_beta 90.00
_cell_angle_gamma 90.00
_space_group_name_H-M_alt 'P -4 m 2'
_space_group_IT_number 115
loop_
_space_group_symop_operation_xyz
'x,y,z'
'y,-x,-z'
'-x,-y,z'
'-y,x,-z'
'-x,y,z'
'-y,-x,-z'
'x,-y,z'
'y,x,-z'
loop_
_atom_site_label
_atom_site_fract_x
_atom_site_fract_y
_atom_site_fract_z
Sm1 0.000 0.500 0.244
In1 0.000 0.000 0.500
Ga1 0.000 0.500 0.871
Ga2 0.500 0.500 0.500
Pd1 0.000 0.000 0.000
Pd2 0.000 0.500 0.655
Pd3 0.500 0.500 0.000
```

## Properties
ΔH_f (0 K)   -752 meV/atom

The total energy results, record by record, are as follows: -3.111 -4.748 -6.789 -6.683 -4.495 -4.516 -6.705 -2.607 -4.965 -6.071 -9.893 -4.955 eV per atom.